Entry 1:
The following is a DFT calculation (SCAN) of TlInAu at its PBEsol-relaxed geometry.

Calculated values
The total energy comes out at -175.37 eV per formula unit. As for the calculated volume: 24.61 Å³/atom. For the energy of formation, the calculation gives -0.16 eV per atom.

Unit cell a=4.709 b=4.709 c=4.709 alpha=60.00 beta=60.00 gamma=60.00
Fractional coordinates of all 3 atoms:
In 0.000 0.000 0.000
Tl 0.500 0.500 0.500
Au 0.250 0.250 0.250



Entry 2:
The following is a DFT calculation (SCAN) of KSr2Rh at its PBEsol-relaxed geometry.

Calculated values
The total energy comes out at -85.32 eV per formula unit. As for the calculated volume: 30.84 Å³/atom. For the energy of formation, the calculation gives 0.33 eV per atom.

Unit cell a=4.494 b=5.239 c=5.239 alpha=90.00 beta=90.00 gamma=90.00
Fractional coordinates of all 4 atoms:
Sr 0.000 0.000 0.500
Sr 0.000 0.500 0.000
Rh 0.500 0.000 0.000
K 0.500 0.500 0.500



Entry 3:
The following is a DFT calculation (SCAN) of TbGaRh2 at its PBEsol-relaxed geometry.

Calculated values
The total energy comes out at -134.18 eV per formula unit. As for the calculated volume: 16.09 Å³/atom. For the energy of formation, the calculation gives -0.88 eV per atom.

Unit cell a=4.498 b=4.498 c=4.498 alpha=60.00 beta=60.00 gamma=60.00
Fractional coordinates of all 4 atoms:
Rh 0.250 0.250 0.250
Rh 0.750 0.750 0.750
Tb 0.000 0.000 0.000
Ga 0.500 0.500 0.500



Entry 4:
The following is a DFT calculation (SCAN) of CaAgF5 at its PBEsol-relaxed geometry.

Calculated values
The total energy comes out at -75.54 eV per formula unit. As for the calculated volume: 14.25 Å³/atom. For the uncorrected formation energy, the calculation gives -2401.5 meV/atom.

Unit cell a=5.522 b=5.000 c=7.955 alpha=111.08 beta=94.26 gamma=100.17
Fractional coordinates of all 14 atoms:
F 0.188 0.766 0.075
F 0.743 0.048 0.515
F 0.724 0.410 0.309
F 0.695 0.771 0.032
F 0.276 0.590 0.691
F 0.257 0.952 0.485
F 0.208 0.367 0.315
F 0.305 0.229 0.968
F 0.812 0.234 0.925
F 0.792 0.633 0.685
Ag 0.000 0.500 0.500
Ag 0.000 0.000 0.000
Ca 0.487 0.741 0.277
Ca 0.513 0.259 0.723



Entry 5:
The following is a DFT calculation (SCAN) of Na2HgMoO at its PBEsol-relaxed geometry.

Calculated values
The total energy comes out at -113.75 eV per formula unit. As for the calculated volume: 27.37 Å³/atom. For the uncorrected formation energy, the calculation gives 792.2 meV/atom.

Unit cell a=4.107 b=5.773 c=5.773 alpha=90.00 beta=90.00 gamma=90.00
Fractional coordinates of all 5 atoms:
Na 0.000 0.000 0.500
Na 0.000 0.500 0.000
Mo 0.500 0.500 0.500
O 0.500 0.000 0.000
Hg 0.000 0.000 0.000



Entry 6:
The following is a DFT calculation (SCAN) of CoPt2Pb at its PBEsol-relaxed geometry.

Calculated values
The total energy comes out at -232.67 eV per formula unit. As for the calculated volume: 15.75 Å³/atom. For the energy of formation, the calculation gives 0.20 eV per atom.

Unit cell a=4.061 b=4.061 c=4.779 alpha=115.14 beta=115.14 gamma=90.00
Fractional coordinates of all 4 atoms:
Co 0.500 0.500 0.000
Pb 0.250 0.750 0.500
Pt 0.000 0.000 0.000
Pt 0.750 0.250 0.500